# GGA-PBE CrSbCl2, optimized geometry
data_CrSbCl2
_cell_length_a 13.629
_cell_length_b 3.062
_cell_length_c 6.237
_cell_angle_alpha 90.00
_cell_angle_beta 116.09
_cell_angle_gamma 90.00
_space_group_name_H-M_alt 'C 1 2/m 1'
_space_group_IT_number 12
_space_group_name_Hall '-C 2y'
loop_
_atom_site_label
_atom_site_type_symbol
_atom_site_fract_x
_atom_site_fract_y
_atom_site_fract_z
Cr1 Cr 0.000 0.000 0.000
Sb1 Sb 0.000 0.500 0.500
Cl1 Cl 0.144 0.500 0.138
# Raw formation energy in eV per atom: -0.325
# Excess energy over the best structure of this formula in the dataset in meV/atom: 77
# Theoretical density in g/cm³: 3.5